Entry from Alexandria: crystalline CsI3Br at its relaxed geometry (PBE).

Values from the calculation:
Final energy (eV/atom): -1.977
Energy relative to the elements, uncorrected (eV per formula unit): -2.708
Calculated volume (Å³ per atom): 49.46

CIF file:
```
data_CsI3Br
_cell_length_a 8.807
_cell_length_b 8.807
_cell_length_c 12.752
_cell_angle_alpha 90.00
_cell_angle_beta 90.00
_cell_angle_gamma 90.00
_space_group_name_H-M_alt 'I 4/m m m'
_space_group_IT_number 139
_space_group_name_Hall '-I 4 2'
loop_
_atom_site_label
_atom_site_fract_x
_atom_site_fract_y
_atom_site_fract_z
_atom_site_occupancy
Cs1 0.000 0.500 0.250 1
I1 0.000 0.000 0.218 1
I2 0.228 0.228 0.500 1
Br1 0.000 0.000 0.000 1
Br2 0.000 0.000 0.500 1
```

Entry from Alexandria: crystalline Cs4I3Br at its relaxed geometry (PBE).

Values from the calculation:
Final energy (eV/atom): -2.822
Energy relative to the elements, uncorrected (eV per formula unit): -12.841
Calculated volume (Å³ per atom): 57.73

CIF file:
```
data_Cs4I3Br
_cell_length_a 11.003
_cell_length_b 15.459
_cell_length_c 5.430
_cell_angle_alpha 90.00
_cell_angle_beta 90.00
_cell_angle_gamma 90.00
_space_group_name_H-M_alt 'C m m m'
_space_group_IT_number 65
_space_group_name_Hall '-C 2 2'
loop_
_atom_site_label
_atom_site_fract_x
_atom_site_fract_y
_atom_site_fract_z
_atom_site_occupancy
Cs1 0.000 0.244 0.000 1
Cs2 0.238 0.000 0.500 1
I1 0.000 0.500 0.000 1
I2 0.250 0.250 0.500 1
Br1 0.000 0.000 0.000 1
```

Entry from Alexandria: crystalline Cs12I3Br5 at its relaxed geometry (PBE).

Values from the calculation:
Final energy (eV/atom): -2.387
Energy relative to the elements, uncorrected (eV per formula unit): -24.492
Calculated volume (Å³ per atom): 71.07

CIF file:
```
data_Cs12I3Br5
_cell_length_a 22.487
_cell_length_b 22.487
_cell_length_c 22.487
_cell_angle_alpha 90.00
_cell_angle_beta 90.00
_cell_angle_gamma 90.00
_space_group_name_H-M_alt 'I a -3 d'
_space_group_IT_number 230
_space_group_name_Hall '-I 4bd 2c 3'
loop_
_atom_site_label
_atom_site_fract_x
_atom_site_fract_y
_atom_site_fract_z
_atom_site_occupancy
Cs1 0.025 0.063 0.651 1
I1 0.000 0.250 0.125 1
Br1 0.000 0.000 0.000 1
Br2 0.000 0.250 0.375 1
```

Entry from Alexandria: crystalline Cs2I2Br5 at its relaxed geometry (PBE).

Values from the calculation:
Final energy (eV/atom): -2.198
Energy relative to the elements, uncorrected (eV per formula unit): -6.610
Calculated volume (Å³ per atom): 46.07

CIF file:
```
data_Cs2I2Br5
_cell_length_a 23.002
_cell_length_b 8.190
_cell_length_c 8.803
_cell_angle_alpha 90.00
_cell_angle_beta 90.00
_cell_angle_gamma 90.00
_space_group_name_H-M_alt 'I m a 2'
_space_group_IT_number 46
_space_group_name_Hall 'I 2 -2a'
loop_
_atom_site_label
_atom_site_fract_x
_atom_site_fract_y
_atom_site_fract_z
_atom_site_occupancy
Cs1 0.121 0.048 0.000 1
I1 0.000 0.000 0.496 1
I2 0.250 0.521 0.014 1
Br1 0.005 0.249 0.747 1
Br2 0.168 0.692 0.811 1
Br3 0.250 0.203 0.740 1
```